Entry 1:
A relaxed SiRu3O crystal, computed with PBE-GGA. Values from VASP.

```
&SYSTEM
  ibrav = 0, nat = 5, ntyp = 3
/
ATOMIC_SPECIES
Ru 101.07 Ru.upf
Si 28.09 Si.upf
O 16.00 O.upf
ATOMIC_POSITIONS angstrom
Ru -0.049 -1.650 1.150
Si -0.765 -0.061 3.400
Ru 1.019 0.972 1.438
O 0.000 0.000 0.000
Ru -1.735 0.618 0.812
CELL_PARAMETERS angstrom
-3.469 1.235 1.624
-0.098 -3.301 2.301
2.038 1.944 2.875
```

Calculated values
* energy above the lowest structure with this stoichiometry: 0.0 kJ/mol of atoms
* formation energy from raw total energies: 265 meV per atom


Entry 2:
A relaxed TaSi2RuO crystal, computed with PBE-GGA. Values from VASP.

```
&SYSTEM
  ibrav = 0, nat = 5, ntyp = 4
/
ATOMIC_SPECIES
Ru 101.07 Ru.upf
O 16.00 O.upf
Si 28.09 Si.upf
Ta 180.95 Ta.upf
ATOMIC_POSITIONS angstrom
Ru 0.000 0.000 0.000
O -0.885 -1.546 0.216
Si -0.859 0.179 -2.236
Si -1.905 1.206 0.829
Ta -3.649 -0.161 -1.192
CELL_PARAMETERS angstrom
-1.718 0.358 -4.473
-1.770 -3.092 0.432
-3.811 2.413 1.657
```

Calculated values
* formation energy from raw total energies: 480 meV per atom


Entry 3:
A relaxed TlSiRuO6 crystal, computed with PBE-GGA. Values from VASP.

```
&SYSTEM
  ibrav = 0, nat = 9, ntyp = 4
/
ATOMIC_SPECIES
Ru 101.07 Ru.upf
O 16.00 O.upf
Si 28.09 Si.upf
Tl 204.38 Tl.upf
ATOMIC_POSITIONS angstrom
Ru 5.018 2.897 2.395
O 1.865 0.103 3.409
Si 2.509 1.449 2.395
O 1.022 1.564 1.380
O 3.997 1.564 3.409
O 3.153 0.103 1.380
O 3.352 2.679 1.380
Tl 5.018 0.000 4.789
O 1.666 2.679 3.409
CELL_PARAMETERS angstrom
5.018 0.000 0.000
2.509 4.346 0.000
0.000 0.000 4.789
```

Calculated values
* formation energy from raw total energies: -1359 meV per atom